## KNaSi2 (PBE-GGA)

Data for an optimized crystal structure of KNaSi2.

a = 7.7086 Å, b = 6.8586 Å, c = 8.9312 Å
α = 90.00°, β = 90.00°, γ = 90.00°
With the nearest neighbours (Å) after each atom.
Element x y z (fractional)
K1 0.0046 0.2500 0.1683  8 Si 3.59-3.81, 3 Na 3.91-3.96
K2 0.4954 0.7500 0.6683  8 Si 3.59-3.81, 3 Na 3.91-3.96
K3 0.5046 0.2500 0.3317  8 Si 3.59-3.81, 3 Na 3.91-3.96
K4 0.9954 0.7500 0.8317  8 Si 3.59-3.81, 3 Na 3.91-3.96
Na1 0.1985 0.7500 0.3141  6 Si 3.05-3.10
Na2 0.3015 0.2500 0.8141  6 Si 3.05-3.10
Na3 0.6985 0.7500 0.1859  6 Si 3.05-3.10
Na4 0.8015 0.2500 0.6859  6 Si 3.05-3.10
Si1 0.1303 0.0819 0.5335  2 Si 2.31-2.38
Si2 0.1303 0.4181 0.5335  2 Si 2.31-2.38
Si3 0.3697 0.5819 0.0335  2 Si 2.31-2.38
Si4 0.3697 0.9181 0.0335  2 Si 2.31-2.38
Si5 0.6303 0.0819 0.9665  2 Si 2.31-2.38
Si6 0.6303 0.4181 0.9665  2 Si 2.31-2.38
Si7 0.8697 0.5819 0.4665  2 Si 2.31-2.38
Si8 0.8697 0.9181 0.4665  2 Si 2.31-2.38

Magnetization = 0.0000 μB per atom
Energy relative to the lowest polymorph listed for this composition = 0.0000 eV per atom
Formation energy from raw total energies = 57 meV/atom
N(E_F) = 1.4 states/eV/f.u.

## Li8Ag2Pd3 (PBE-GGA)

Data for an optimized crystal structure of Li8Ag2Pd3.

a = 7.7245 Å, b = 7.7245 Å, c = 4.4964 Å
α = 90.00°, β = 90.00°, γ = 128.08°
With the nearest neighbours (Å) after each atom.
Element x y z (fractional)
Li1 0.1113 0.8887 0.0000  4 Pd 2.56-2.73, 2 Ag 2.72
Li2 0.2043 0.4055 0.5000  3 Pd 2.49-2.65, 3 Li 2.64-2.78, 1 Ag 2.66
Li3 0.3294 0.6706 0.0000  2 Ag 2.70, 2 Pd 2.72, 4 Li 2.78
Li4 0.4055 0.2043 0.5000  3 Pd 2.49-2.65, 3 Li 2.64-2.78, 1 Ag 2.66
Li5 0.5945 0.7957 0.5000  3 Pd 2.49-2.65, 3 Li 2.64-2.78, 1 Ag 2.66
Li6 0.6706 0.3294 0.0000  2 Ag 2.70, 2 Pd 2.72, 4 Li 2.78
Li7 0.7957 0.5945 0.5000  3 Pd 2.49-2.65, 3 Li 2.64-2.78, 1 Ag 2.66
Li8 0.8887 0.1113 0.0000  4 Pd 2.56-2.73, 2 Ag 2.72
Ag1 0.2220 0.7780 0.5000  8 Li 2.66-2.80
Ag2 0.7780 0.2220 0.5000  8 Li 2.66-2.80
Pd1 0.0000 0.0000 0.5000  8 Li 2.49-2.73
Pd2 0.3024 0.3024 0.0000  8 Li 2.56-2.72, 1 Pd 2.67
Pd3 0.6976 0.6976 0.0000  8 Li 2.56-2.72, 1 Pd 2.67

Magnetization = 0.0000 μB per atom
Energy relative to the lowest polymorph listed for this composition = 0.0000 eV per atom
N(E_F) = 2.3 states/eV/f.u.

## NpMnGa (PBE-GGA)

Data for an optimized crystal structure of NpMnGa.

a = 5.9372 Å, b = 5.6509 Å, c = 8.6758 Å
α = 90.00°, β = 132.05°, γ = 90.00°
With the nearest neighbours (Å) after each atom.
Element x y z (fractional)
Np1 0.0932 0.1231 0.3979  1 Mn 2.14
Np2 0.0932 0.3769 0.8979  1 Mn 2.14
Np3 0.9068 0.6231 0.1021  1 Mn 2.14
Np4 0.9068 0.8769 0.6021  1 Mn 2.14
Mn1 0.1329 0.1195 0.1699  1 Np 2.14
Mn2 0.1329 0.3805 0.6699  1 Np 2.14
Mn3 0.8671 0.6195 0.3301  1 Np 2.14
Mn4 0.8671 0.8805 0.8301  1 Np 2.14
Ga1 0.4286 0.6228 0.6086  3 Mn 2.43-2.55
Ga2 0.4286 0.8772 0.1086  3 Mn 2.43-2.55
Ga3 0.5714 0.1228 0.8914  3 Mn 2.43-2.55
Ga4 0.5714 0.3772 0.3914  3 Mn 2.43-2.55

Magnetization = 0.6397 μB per atom
Energy = -8.451 eV per atom
N(E_F) = 5.0 states/eV/f.u.

## Y3Al9Cu2 (PBE-GGA)

Data for an optimized crystal structure of Y3Al9Cu2.

a = 8.1690 Å, b = 8.1690 Å, c = 8.1690 Å
α = 149.82°, β = 104.11°, γ = 83.79°
With the nearest neighbours (Å) after each atom.
Element x y z (fractional)
Y1 0.0000 0.0000 0.0000  12 Al 3.16-3.20
Y2 0.3131 0.3131 0.0000  2 Cu 3.11, 10 Al 3.11-3.16
Y3 0.6869 0.6869 0.0000  2 Cu 3.11, 10 Al 3.11-3.16
Al1 0.0284 0.6589 0.3695  1 Cu 2.51, 4 Al 2.62-2.76
Al2 0.1527 0.8732 0.2795  2 Cu 2.63, 4 Al 2.63-2.76
Al3 0.2894 0.6589 0.6305  1 Cu 2.51, 4 Al 2.62-2.76
Al4 0.4063 0.1268 0.2795  2 Cu 2.63, 4 Al 2.63-2.76
Al5 0.5000 0.0000 0.5000  4 Al 2.70, 4 Cu 3.00
Al6 0.5937 0.8732 0.7205  2 Cu 2.63, 4 Al 2.63-2.76
Al7 0.7106 0.3411 0.3695  1 Cu 2.51, 4 Al 2.62-2.76
Al8 0.8473 0.1268 0.7205  2 Cu 2.63, 4 Al 2.63-2.76
Al9 0.9716 0.3411 0.6305  1 Cu 2.51, 4 Al 2.62-2.76
Cu1 0.2893 0.5000 0.7893  6 Al 2.51-2.63
Cu2 0.7107 0.5000 0.2107  6 Al 2.51-2.63

Magnetization = 0.0000 μB per atom
Energy = -4.806 eV per atom
N(E_F) = 3.3 states/eV/f.u.

## Ho13Mg2 (PBE-GGA)

Data for an optimized crystal structure of Ho13Mg2.

a = 6.6559 Å, b = 8.5172 Å, c = 8.9100 Å
α = 65.99°, β = 79.24°, γ = 82.22°
With the nearest neighbours (Å) after each atom.
Element x y z (fractional)
Ho1 0.0000 0.0000 0.0000  2 Mg 3.27, 6 Ho 3.31-3.51
Ho2 0.1241 0.4782 0.7464  2 Mg 3.15-3.19, 7 Ho 3.34-3.53
Ho3 0.1956 0.2301 0.1543  10 Ho 3.31-3.62
Ho4 0.2499 0.9425 0.5750  2 Mg 3.17-3.25, 3 Ho 3.43-3.52
Ho5 0.3090 0.6618 0.9720  11 Ho 3.37-3.74
Ho6 0.3728 0.4101 0.3901  2 Mg 3.32-3.35, 9 Ho 3.46-3.69
Ho7 0.4875 0.1385 0.7969  1 Mg 3.19, 4 Ho 3.44-3.51
Ho8 0.5125 0.8615 0.2031  1 Mg 3.19, 4 Ho 3.44-3.51
Ho9 0.6272 0.5899 0.6099  2 Mg 3.32-3.35, 9 Ho 3.46-3.69
Ho10 0.6910 0.3382 0.0280  11 Ho 3.37-3.74
Ho11 0.7501 0.0575 0.4250  2 Mg 3.17-3.25, 3 Ho 3.43-3.52
Ho12 0.8044 0.7699 0.8457  10 Ho 3.31-3.62
Ho13 0.8759 0.5218 0.2536  2 Mg 3.15-3.19, 7 Ho 3.34-3.53
Mg1 0.0613 0.7556 0.3842  8 Ho 3.15-3.35
Mg2 0.9387 0.2444 0.6158  8 Ho 3.15-3.35

Magnetization = 0.0002 μB per atom
Energy = -4.148 eV per atom
N(E_F) = 23.7 states/eV/f.u.

## Ac2PrMg (PBE-GGA)

Data for an optimized crystal structure of Ac2PrMg.

a = 12.1706 Å, b = 12.1706 Å, c = 12.1706 Å
α = 18.28°, β = 18.28°, γ = 18.28°
With the nearest neighbours (Å) after each atom.
Element x y z (fractional)
Ac1 0.0000 0.0000 0.0000  3 Mg 3.61, 3 Pr 3.84, 6 Ac 3.87
Ac2 0.1751 0.1751 0.1751  3 Mg 3.62, 6 Ac 3.87, 3 Pr 3.87
Pr1 0.4203 0.4203 0.4203  6 Ac 3.84-3.87, 6 Pr 3.87
Mg1 0.5876 0.5876 0.5876  6 Ac 3.61-3.62, 6 Mg 3.87

Magnetization = 0.0000 μB per atom
Energy relative to the lowest polymorph listed for this composition = 0.0923 eV per atom
N(E_F) = 5.0 states/eV/f.u.

## MoRu3 (PBE-GGA)

Data for an optimized crystal structure of MoRu3.

a = 9.1007 Å, b = 9.1007 Å, c = 9.1007 Å
α = 17.24°, β = 17.24°, γ = 17.24°
With the nearest neighbours (Å) after each atom.
Element x y z (fractional)
Mo1 0.0000 0.0000 0.0000  6 Mo 2.73, 6 Ru 2.77
Ru1 0.2484 0.2484 0.2484  9 Ru 2.70-2.73, 3 Mo 2.77
Ru2 0.5000 0.5000 0.5000  12 Ru 2.70-2.73
Ru3 0.7516 0.7516 0.7516  9 Ru 2.70-2.73, 3 Mo 2.77

Magnetization = 0.0000 μB per atom
Energy relative to the lowest polymorph listed for this composition = 0.1851 eV per atom
N(E_F) = 4.9 states/eV/f.u.

## Ce4GeRh3 (PBE-GGA)

Data for an optimized crystal structure of Ce4GeRh3.

a = 3.9699 Å, b = 4.1586 Å, c = 10.9099 Å
α = 90.00°, β = 90.00°, γ = 90.00°
With the nearest neighbours (Å) after each atom.
Element x y z (fractional)
Ce1 0.0000 0.0000 0.0000  6 Rh 2.90-3.21, 1 Ge 3.16
Ce2 0.0000 0.5000 0.2723  7 Rh 2.91-3.25
Ce3 0.5000 0.0000 0.4932  5 Rh 2.86-2.93, 2 Ge 3.09
Ce4 0.5000 0.5000 0.7786  1 Rh 2.81, 4 Ge 2.97
Ge1 0.0000 0.0000 0.7104  2 Rh 2.74, 4 Ce 2.97
Rh1 0.0000 0.5000 0.5473  2 Ge 2.74, 5 Ce 2.93-3.00
Rh2 0.5000 0.0000 0.2308  7 Ce 2.86-3.21, 2 Rh 2.97
Rh3 0.5000 0.5000 0.0359  5 Ce 2.81-2.90, 2 Rh 2.97

Magnetization = 0.2199 μB per atom
Energy = -7.057 eV per atom
N(E_F) = 14.5 states/eV/f.u.

## BaSmS2O8 (PBE-GGA)

Data for an optimized crystal structure of BaSmS2O8.

a = 5.2583 Å, b = 5.2583 Å, c = 8.4050 Å
α = 90.00°, β = 90.00°, γ = 120.00°
With the nearest neighbours (Å) after each atom.
Element x y z (fractional)
Ba1 0.0000 0.0000 0.0000  12 O 2.90-3.07
Sm1 0.0000 0.0000 0.5000  6 O 2.43
S1 0.3333 0.6667 0.7711  4 O 1.49
S2 0.6667 0.3333 0.2289  4 O 1.49
O1 0.1765 0.3570 0.7142  1 S 1.49
O2 0.1805 0.8235 0.7142  1 S 1.49
O3 0.3333 0.6667 0.9481  1 S 1.49
O4 0.3570 0.1805 0.2858  1 S 1.49
O5 0.6430 0.8195 0.7142  1 S 1.49
O6 0.6667 0.3333 0.0519  1 S 1.49
O7 0.8195 0.1765 0.2858  1 S 1.49
O8 0.8235 0.6430 0.2858  1 S 1.49

Magnetization = 0.0340 μB per atom
Formation energy from raw total energies = -2041 meV/atom
N(E_F) = 1.9 states/eV/f.u.

## TbHoSc2 (PBE-GGA)

Data for an optimized crystal structure of TbHoSc2.

a = 5.4029 Å, b = 5.4029 Å, c = 5.4029 Å
α = 60.00°, β = 60.00°, γ = 60.00°
With the nearest neighbours (Å) after each atom.
Element x y z (fractional)
Tb1 0.0000 0.0000 0.0000  8 Sc 3.31
Ho1 0.5000 0.5000 0.5000  8 Sc 3.31
Sc1 0.2500 0.2500 0.2500  4 Tb 3.31, 4 Ho 3.31
Sc2 0.7500 0.7500 0.7500  4 Ho 3.31, 4 Tb 3.31

Magnetization = 0.0001 μB per atom
Energy relative to the lowest polymorph listed for this composition = 0.0380 eV per atom
N(E_F) = 6.2 states/eV/f.u.

## Dy7Mg5 (PBE-GGA)

Data for an optimized crystal structure of Dy7Mg5.

a = 6.4486 Å, b = 6.4486 Å, c = 10.8015 Å
α = 90.03°, β = 90.03°, γ = 48.85°
With the nearest neighbours (Å) after each atom.
Element x y z (fractional)
Dy1 0.0000 0.0000 0.0000  6 Dy 3.39-3.63, 8 Mg 3.50-3.62
Dy2 0.1703 0.1703 0.7472  6 Mg 3.33-3.57, 7 Dy 3.39-3.69
Dy3 0.3451 0.3451 0.4886  3 Mg 3.19-3.23, 5 Dy 3.45-3.51
Dy4 0.4783 0.4783 0.7730  4 Mg 3.15-3.47, 4 Dy 3.45-3.51
Dy5 0.5217 0.5217 0.2270  4 Mg 3.15-3.47, 4 Dy 3.45-3.51
Dy6 0.6549 0.6549 0.5114  3 Mg 3.19-3.23, 5 Dy 3.45-3.51
Dy7 0.8297 0.8297 0.2528  6 Mg 3.33-3.57, 7 Dy 3.39-3.69
Mg1 0.0000 0.0000 0.5000  2 Mg 3.06, 6 Dy 3.23-3.33
Mg2 0.1583 0.1583 0.2747  2 Mg 3.06-3.13, 5 Dy 3.15-3.35
Mg3 0.3064 0.3064 0.0340  3 Mg 3.07-3.13, 1 Dy 3.28
Mg4 0.6936 0.6936 0.9660  3 Mg 3.07-3.13, 1 Dy 3.28
Mg5 0.8417 0.8417 0.7253  2 Mg 3.06-3.13, 5 Dy 3.15-3.35

Magnetization = 0.0000 μB per atom
Energy = -3.348 eV per atom
N(E_F) = 13.3 states/eV/f.u.

## Ac6MgCu2 (PBE-GGA)

Data for an optimized crystal structure of Ac6MgCu2.

a = 9.4267 Å, b = 9.4267 Å, c = 9.4267 Å
α = 114.11°, β = 108.93°, γ = 105.48°
With the nearest neighbours (Å) after each atom.
Element x y z (fractional)
Ac1 0.0479 0.2382 0.8097  1 Cu 3.11, 1 Mg 3.43
Ac2 0.1794 0.2876 0.4670  3 Cu 3.21-3.37, 1 Mg 3.54
Ac3 0.1794 0.7124 0.8918  3 Cu 3.21-3.37, 1 Mg 3.54
Ac4 0.3257 0.0123 0.6866  3 Cu 3.08-3.34
Ac5 0.3257 0.6391 0.3134  3 Cu 3.08-3.34
Ac6 0.4285 0.2382 0.1903  1 Cu 3.11, 1 Mg 3.43
Ac7 0.5715 0.7618 0.8097  1 Cu 3.11, 1 Mg 3.43
Ac8 0.6743 0.3609 0.6866  3 Cu 3.08-3.34
Ac9 0.6743 0.9877 0.3134  3 Cu 3.08-3.34
Ac10 0.8206 0.2876 0.1082  3 Cu 3.21-3.37, 1 Mg 3.54
Ac11 0.8206 0.7124 0.5330  3 Cu 3.21-3.37, 1 Mg 3.54
Ac12 0.9521 0.7618 0.1903  1 Cu 3.11, 1 Mg 3.43
Mg1 0.0000 0.0000 0.0000  8 Ac 3.43-3.54, 2 Cu 3.60
Mg2 0.5000 0.5000 0.0000  8 Ac 3.64-3.78
Cu1 0.1139 0.6139 0.5000  1 Cu 2.60
Cu2 0.3285 0.0000 0.3285  8 Ac 3.11-3.37
Cu3 0.6715 0.0000 0.6715  8 Ac 3.11-3.37
Cu4 0.8861 0.3861 0.5000  1 Cu 2.60

Magnetization = 0.0000 μB per atom
Energy = -3.873 eV per atom
N(E_F) = 11.2 states/eV/f.u.